La3Ce2HoP6 | GGA-PBE | optimized geometry

a b c (Å): 7.1971 12.4666 7.2247
angles (deg): 90.00 109.39 90.00
With the nearest neighbours (Å) after each atom.
Space group C2/m (No. 12)
Inequivalent atoms, fractional coordinates:
La 0.0000 0.0000 0.0000 x2  6 P 3.00
La 0.0000 0.3332 0.0000 x4  6 P 3.00-3.01
Ce 0.0000 0.1666 0.5000 x4  6 P 2.89
Ho 0.0000 0.5000 0.5000 x2  6 P 2.88
P 0.2446 0.3338 0.7354 x8  1 Ho 2.88, 2 Ce 2.89, 3 La 3.00-3.01
P 0.2465 0.0000 0.7364 x4  1 Ho 2.88, 2 Ce 2.89, 3 La 3.00

ΔH_f (0 K) = -1.551 eV per atom
DOS at the Fermi energy = 0.828 states/eV per atom
Mass density = 5.7 g/cm³
Crystal system = monoclinic